(1)
## Y3ZnTe (GGA-PBE)

Data for crystalline Y3ZnTe at its relaxed geometry.

excess energy over the best structure of this formula in the dataset	0.0	kJ per mole of atoms
formation energy (no corrections)	-0.64	eV/atom

Cell lengths 4.0169, 6.2103, 11.2773 Å; angles 98.09, 100.26, 90.00 degrees
Closest atoms and distances in Å follow each position.
Positions (direct):
Y1 0.9992 0.2443 0.9983  2 Y 3.04-3.17, 4 Te 3.19
Y2 0.0008 0.7557 0.0017  2 Y 3.04-3.17, 4 Te 3.19
Y3 0.3696 0.9369 0.7393  2 Zn 3.01, 2 Te 3.25
Y4 0.6304 0.0631 0.2607  2 Zn 3.01, 2 Te 3.25
Y5 0.1943 0.5965 0.3887  4 Zn 3.01-3.22, 2 Te 3.10
Y6 0.8057 0.4035 0.6113  4 Zn 3.01-3.22, 2 Te 3.10
Zn1 0.7677 0.8853 0.5353  2 Zn 2.65
Zn2 0.2323 0.1147 0.4647  2 Zn 2.65
Te1 0.5869 0.5415 0.1738  8 Y 3.10-3.25
Te2 0.4131 0.4585 0.8262  8 Y 3.10-3.25

---

(2)
## Hg2BiSe2S (GGA-PBE)

Data for crystalline Hg2BiSe2S at its relaxed geometry.

formation energy (no corrections)	-0.11	eV/atom

Cell lengths 7.7858, 7.4021, 7.3043 Å; angles 120.44, 90.00, 90.00 degrees
Closest atoms and distances in Å follow each position.
Positions (direct):
Hg1 0.8187 0.9149 0.3319  1 S 2.67, 3 Se 2.75-2.94
Hg2 0.8187 0.5830 0.6681  1 S 2.67, 3 Se 2.75-2.94
Hg3 0.3187 0.4170 0.3319  1 S 2.67, 3 Se 2.75-2.94
Hg4 0.3187 0.0851 0.6681  1 S 2.67, 3 Se 2.75-2.94
Bi1 0.3467 0.7469 0.0000  1 S 2.60, 2 Se 2.80
Bi2 0.8467 0.2531 0.0000  1 S 2.60, 2 Se 2.80
Se1 0.1431 0.7645 0.3244  3 Hg 2.75-2.94, 1 Bi 2.80
Se2 0.1431 0.4401 0.6756  3 Hg 2.75-2.94, 1 Bi 2.80
Se3 0.6431 0.2355 0.6756  3 Hg 2.75-2.94, 1 Bi 2.80
Se4 0.6431 0.5599 0.3244  3 Hg 2.75-2.94, 1 Bi 2.80
S1 0.7029 0.9367 0.0000  1 Bi 2.60, 2 Hg 2.67
S2 0.2029 0.0633 0.0000  1 Bi 2.60, 2 Hg 2.67

---

(3)
## HoPuCrRu (GGA-PBE)

Data for crystalline HoPuCrRu at its relaxed geometry.

formation energy from the elements	0.010	eV/atom

Cell lengths 4.8192, 4.8192, 4.8192 Å; angles 60.00, 60.00, 60.00 degrees
Closest atoms and distances in Å follow each position.
Positions (direct):
Cr1 0.0000 0.0000 0.0000  4 Ho 2.95, 4 Pu 2.95
Ru1 0.5000 0.5000 0.5000  4 Pu 2.95, 4 Ho 2.95
Ho1 0.7500 0.7500 0.7500  4 Cr 2.95, 4 Ru 2.95
Pu1 0.2500 0.2500 0.2500  4 Cr 2.95, 4 Ru 2.95

---

(4)
## Er2In3Pd7 (GGA-PBE)

Data for crystalline Er2In3Pd7 at its relaxed geometry.

excess energy over the best structure of this formula in the dataset	0.0	kJ per mole of atoms
formation energy from the elements	-0.559	eV/atom

Cell lengths 4.5985, 4.8197, 11.1985 Å; angles 102.40, 90.00, 90.00 degrees
Closest atoms and distances in Å follow each position.
Positions (direct):
Er1 0.5000 0.6528 0.3055  7 Pd 2.76-3.00
Er2 0.5000 0.3472 0.6945  7 Pd 2.76-3.00
In1 0.5000 0.5000 0.0000  8 Pd 2.80-2.87
In2 0.0000 0.1430 0.2852  6 Pd 2.78-2.86
In3 0.0000 0.8570 0.7148  6 Pd 2.78-2.86
Pd1 0.5000 0.2148 0.4295  3 Er 2.76-2.90, 2 In 2.79, 2 Pd 2.86
Pd2 0.5000 0.7852 0.5705  3 Er 2.76-2.90, 2 In 2.79, 2 Pd 2.86
Pd3 0.0000 0.5723 0.1456  4 In 2.80-2.86, 2 Pd 2.89, 2 Er 2.89
Pd4 0.0000 0.0000 0.0000  8 Pd 2.78-2.89
Pd5 0.0000 0.4277 0.8544  4 In 2.80-2.86, 2 Pd 2.89, 2 Er 2.89
Pd6 0.5000 0.9292 0.8574  2 Pd 2.78, 4 In 2.78-2.87, 2 Er 2.99-3.00
Pd7 0.5000 0.0708 0.1426  2 Pd 2.78, 4 In 2.78-2.87, 2 Er 2.99-3.00

---

(5)
## ReAgIr4 (GGA-PBE)

Data for crystalline ReAgIr4 at its relaxed geometry.

formation energy from the elements	0.614	eV/atom

Cell lengths 5.1435, 5.1435, 5.1435 Å; angles 60.00, 60.00, 60.00 degrees
Closest atoms and distances in Å follow each position.
Positions (direct):
Re1 0.7500 0.7500 0.7500  12 Ir 3.02, 4 Ag 3.15
Ag1 0.0000 0.0000 0.0000  12 Ir 3.02, 4 Re 3.15
Ir1 0.8757 0.3748 0.3748  6 Ir 2.57-2.58
Ir2 0.3748 0.3748 0.8757  6 Ir 2.57-2.58
Ir3 0.3748 0.8757 0.3748  6 Ir 2.57-2.58
Ir4 0.3748 0.3748 0.3748  6 Ir 2.57-2.58

---

(6)
## Ba8SiSb3I4 (GGA-PBE)

Data for crystalline Ba8SiSb3I4 at its relaxed geometry.

formation energy (no corrections)	-1.24	eV/atom

Cell lengths 10.0606, 10.2780, 10.0601 Å; angles 119.32, 120.00, 90.00 degrees
Closest atoms and distances in Å follow each position.
Positions (direct):
Ba1 0.2350 0.7148 0.9801  1 Si 3.38, 2 Sb 3.45, 2 I 3.75-3.76
Ba2 0.2351 0.7150 0.4702  1 Si 3.38, 2 Sb 3.45, 2 I 3.76
Ba3 0.2614 0.2843 0.5228  3 Sb 3.43, 3 I 3.77
Ba4 0.7451 0.7148 0.9801  1 Si 3.38, 2 Sb 3.45, 2 I 3.75-3.76
Ba5 0.2549 0.2852 0.0199  1 Si 3.38, 2 Sb 3.45, 2 I 3.75-3.76
Ba6 0.7386 0.7157 0.4772  3 Sb 3.43, 3 I 3.77
Ba7 0.7649 0.2850 0.5298  1 Si 3.38, 2 Sb 3.45, 2 I 3.76
Ba8 0.7650 0.2852 0.0199  1 Si 3.38, 2 Sb 3.45, 2 I 3.75-3.76
Si1 0.0000 0.5000 0.0000  6 Ba 3.38
Sb1 0.5000 0.5000 0.0000  6 Ba 3.43-3.45
Sb2 0.5000 0.5000 0.5000  6 Ba 3.43-3.45
Sb3 0.0000 0.5000 0.5000  6 Ba 3.43-3.45
I1 0.5000 0.0000 0.0000  6 Ba 3.82-3.83
I2 0.5000 0.0000 0.5000  6 Ba 3.75-3.77
I3 0.0000 0.0000 0.0000  6 Ba 3.76-3.77
I4 0.0000 0.0000 0.5000  6 Ba 3.75-3.77

---

(7)
## LiScP2 (GGA-PBE)

Data for crystalline LiScP2 at its relaxed geometry.

excess energy over the best structure of this formula in the dataset	19.2	kJ per mole of atoms
formation energy from the elements	-0.623	eV/atom

Cell lengths 4.7598, 2.8426, 4.7596 Å; angles 90.00, 90.00, 90.00 degrees
Closest atoms and distances in Å follow each position.
Positions (direct):
Li1 0.5000 0.6252 0.8752  8 P 2.77, 2 Li 2.84
P1 0.0000 0.1248 0.8747  4 Sc 2.77, 4 Li 2.77, 2 P 2.84
P2 0.5000 0.1247 0.3754  4 Li 2.77, 4 Sc 2.77, 2 P 2.84
Sc1 0.0000 0.6253 0.3746  8 P 2.77, 2 Sc 2.84

---

(8)
## Tb3Zn8Cd (GGA-PBE)

Data for crystalline Tb3Zn8Cd at its relaxed geometry.

formation energy from the elements	-0.280	eV/atom

Cell lengths 5.4346, 5.4346, 9.4211 Å; angles 73.24, 73.24, 60.00 degrees
Closest atoms and distances in Å follow each position.
Positions (direct):
Tb1 0.3774 0.3774 0.8679  12 Zn 3.15-3.23, 4 Tb 3.36-3.40
Tb2 0.9947 0.9947 0.0159  12 Zn 3.10-3.30, 1 Cd 3.26, 3 Tb 3.40
Tb3 0.5033 0.5033 0.4901  12 Zn 3.13-3.24, 3 Cd 3.28, 1 Tb 3.36
Zn1 0.9362 0.4396 0.1846  6 Zn 2.70-2.75
Zn2 0.4332 0.9392 0.6885  6 Zn 2.68-2.75
Zn3 0.4396 0.4396 0.1846  6 Zn 2.70-2.75
Zn4 0.9392 0.9392 0.6885  6 Zn 2.68-2.75
Zn5 0.1872 0.1872 0.4385  6 Zn 2.71-2.75
Zn6 0.6881 0.6881 0.9356  6 Zn 2.71
Zn7 0.4396 0.9362 0.1846  6 Zn 2.70-2.75
Zn8 0.9392 0.4332 0.6885  6 Zn 2.68-2.75
Cd1 0.8723 0.8723 0.3830  12 Zn 3.14-3.24, 4 Tb 3.26-3.28

---

(9)
## ReOs2Se (GGA-PBE)

Data for crystalline ReOs2Se at its relaxed geometry.

formation energy (no corrections)	0.54	eV/atom

Cell lengths 5.0020, 5.0020, 4.4652 Å; angles 88.09, 88.09, 33.28 degrees
Closest atoms and distances in Å follow each position.
Positions (direct):
Os1 0.0280 0.0280 0.9840  1 Se 2.47, 2 Os 2.61, 2 Re 2.74
Os2 0.4720 0.4720 0.5160  1 Se 2.47, 2 Os 2.61, 2 Re 2.74
Re1 0.7500 0.7500 0.7500  4 Se 2.65, 6 Os 2.74-2.90, 2 Re 2.87
Se1 0.2500 0.2500 0.2500  2 Os 2.47, 4 Re 2.65

---

(10)
## HfTaAu2Br (GGA-PBE)

Data for crystalline HfTaAu2Br at its relaxed geometry.

formation energy (no corrections)	1.31	eV/atom

Cell lengths 4.9223, 4.7615, 4.9223 Å; angles 90.00, 90.00, 90.00 degrees
Closest atoms and distances in Å follow each position.
Positions (direct):
Hf1 0.5000 0.5000 0.5000  8 Au 3.42, 4 Ta 3.48
Au1 0.0000 0.0000 0.5000  2 Br 2.46
Au2 0.5000 0.0000 0.0000  2 Br 2.46
Br1 0.0000 0.0000 0.0000  2 Ta 2.38, 4 Au 2.46
Ta1 0.0000 0.5000 0.0000  2 Br 2.38

---

(11)
## Ho4SbTe2Pb (GGA-PBE)

Data for crystalline Ho4SbTe2Pb at its relaxed geometry.

formation energy (no corrections)	-1.08	eV/atom

Cell lengths 4.3859, 7.5764, 7.5915 Å; angles 70.53, 90.00, 90.00 degrees
Closest atoms and distances in Å follow each position.
Positions (direct):
Ho1 0.0000 0.7391 0.7546  2 Pb 3.05, 1 Sb 3.06, 3 Te 3.14-3.15
Ho2 0.0000 0.2609 0.2454  2 Pb 3.05, 1 Sb 3.06, 3 Te 3.14-3.15
Ho3 0.5000 0.7385 0.2527  1 Pb 3.04, 2 Sb 3.06, 3 Te 3.14-3.15
Ho4 0.5000 0.2615 0.7473  1 Pb 3.04, 2 Sb 3.06, 3 Te 3.14-3.15
Sb1 0.0000 0.5000 0.5000  6 Ho 3.06
Te1 0.0000 0.0000 0.0000  6 Ho 3.14
Te2 0.5000 0.0000 0.5000  6 Ho 3.15
Pb1 0.5000 0.5000 0.0000  6 Ho 3.04-3.05

---

(12)
## TlRe2RhO8 (GGA-PBE)

Data for crystalline TlRe2RhO8 at its relaxed geometry.

formation energy (no corrections)	-1.28	eV/atom

Cell lengths 5.5720, 5.5720, 8.0522 Å; angles 87.00, 87.00, 66.76 degrees
Closest atoms and distances in Å follow each position.
Positions (direct):
Tl1 0.0000 0.0000 0.5000  6 O 2.94-2.95
Re1 0.6314 0.6314 0.2166  4 O 1.76-1.78
Re2 0.3686 0.3686 0.7834  4 O 1.76-1.78
Rh1 0.0000 0.0000 0.0000  6 O 2.11-2.25
O1 0.7130 0.2341 0.8083  1 Re 1.78
O2 0.7766 0.7766 0.0646  1 Re 1.77
O3 0.6973 0.6973 0.4166  1 Re 1.76
O4 0.3027 0.3027 0.5834  1 Re 1.76
O5 0.2234 0.2234 0.9354  1 Re 1.77
O6 0.2341 0.7130 0.8083  1 Re 1.78
O7 0.7659 0.2870 0.1917  1 Re 1.78
O8 0.2870 0.7659 0.1917  1 Re 1.78

---

(13)
## Y2HgAu (GGA-PBE)

Data for crystalline Y2HgAu at its relaxed geometry.

formation energy from the elements	-0.333	eV/atom

Cell lengths 7.8659, 7.8659, 6.6694 Å; angles 53.86, 53.86, 90.00 degrees
Closest atoms and distances in Å follow each position.
Positions (direct):
Y1 0.6075 0.1250 0.2500  2 Au 2.84, 2 Hg 3.02
Y2 0.1425 0.6250 0.2500  2 Au 2.84, 2 Hg 3.02
Y3 0.3750 0.3925 0.7500  2 Au 2.84, 2 Hg 3.02
Y4 0.8750 0.8575 0.7500  2 Au 2.84, 2 Hg 3.02
Au1 0.5000 0.5000 0.0000  4 Y 2.84
Au2 0.2500 0.7500 0.5000  4 Y 2.84
Hg1 0.0000 0.0000 0.0000  4 Y 3.02
Hg2 0.7500 0.2500 0.5000  4 Y 3.02

---

(14)
## ErGa2SiNi2 (GGA-PBE)

Data for crystalline ErGa2SiNi2 at its relaxed geometry.

formation energy (no corrections)	-0.38	eV/atom

Cell lengths 4.2813, 4.2813, 5.4342 Å; angles 90.00, 90.00, 90.00 degrees
Closest atoms and distances in Å follow each position.
Positions (direct):
Er1 0.0000 0.0000 0.5000  2 Si 2.72
Ga1 0.5000 0.5000 0.7345  1 Ga 2.55, 4 Ni 2.58
Ga2 0.5000 0.5000 0.2655  1 Ga 2.55, 4 Ni 2.58
Si1 0.0000 0.0000 0.0000  4 Ni 2.14
Ni1 0.5000 0.0000 0.0000  2 Si 2.14
Ni2 0.0000 0.5000 0.0000  2 Si 2.14

---

(15)
## Li3HfNp3S8 (GGA-PBE)

Data for crystalline Li3HfNp3S8 at its relaxed geometry.

formation energy (no corrections)	-1.41	eV/atom

Cell lengths 7.7711, 7.7712, 7.6077 Å; angles 120.72, 90.00, 120.00 degrees
Closest atoms and distances in Å follow each position.
Positions (direct):
Li1 0.0000 0.0000 0.0000  6 S 2.70-2.71
Li2 0.0000 0.5000 0.0000  6 S 2.70-2.71
Li3 0.5000 0.5000 0.0000  6 S 2.70-2.71
Hf1 0.0000 0.0000 0.5000  6 S 2.58
Np1 0.5000 0.0000 0.5000  6 S 2.73-2.75
Np2 0.5000 0.5000 0.5000  6 S 2.73-2.75
Np3 0.0000 0.5000 0.5000  6 S 2.73-2.75
S1 0.2488 0.4977 0.2466  3 Li 2.71, 3 Np 2.73
S2 0.7512 0.5023 0.7534  3 Li 2.71, 3 Np 2.73
S3 0.7630 0.5260 0.2586  1 Hf 2.58, 2 Li 2.70, 2 Np 2.75
S4 0.2370 0.4740 0.7414  1 Hf 2.58, 2 Li 2.70, 2 Np 2.75
S5 0.7630 0.9955 0.2586  1 Hf 2.58, 2 Li 2.70, 2 Np 2.75
S6 0.2370 0.0045 0.7414  1 Hf 2.58, 2 Li 2.70, 2 Np 2.75
S7 0.2325 0.9955 0.2586  1 Hf 2.58, 2 Li 2.70, 2 Np 2.75
S8 0.7675 0.0045 0.7414  1 Hf 2.58, 2 Li 2.70, 2 Np 2.75

---

(16)
## TaPRu4 (GGA-PBE)

Data for crystalline TaPRu4 at its relaxed geometry.

formation energy from the elements	0.431	eV/atom

Cell lengths 5.0834, 5.0834, 5.0834 Å; angles 60.00, 60.00, 60.00 degrees
Closest atoms and distances in Å follow each position.
Positions (direct):
Ta1 0.7500 0.7500 0.7500  12 Ru 2.98, 4 P 3.11
P1 0.0000 0.0000 0.0000  12 Ru 2.98, 4 Ta 3.11
Ru1 0.8758 0.3747 0.3747  6 Ru 2.54-2.55
Ru2 0.3747 0.3747 0.8758  6 Ru 2.54-2.55
Ru3 0.3747 0.8758 0.3747  6 Ru 2.54-2.55
Ru4 0.3747 0.3747 0.3747  6 Ru 2.54-2.55

---

(17)
## CaTb4Ho5 (GGA-PBE)

Data for crystalline CaTb4Ho5 at its relaxed geometry.

formation energy from the elements	0.039	eV/atom

Cell lengths 3.5657, 3.5657, 25.3735 Å; angles 90.00, 90.00, 90.00 degrees
Closest atoms and distances in Å follow each position.
Positions (direct):
Ca1 0.0000 0.0000 0.0000  4 Ca 3.57, 8 Ho 3.77
Tb1 0.0000 0.0000 0.2047  8 Ho 3.47-3.57, 4 Tb 3.57
Tb2 0.0000 0.0000 0.4016  8 Ho 3.53-3.55, 4 Tb 3.57
Tb3 0.0000 0.0000 0.5984  8 Ho 3.53-3.55, 4 Tb 3.57
Tb4 0.0000 0.0000 0.7953  8 Ho 3.47-3.57, 4 Tb 3.57
Ho1 0.5000 0.5000 0.1105  4 Tb 3.47, 4 Ho 3.57, 4 Ca 3.77
Ho2 0.5000 0.5000 0.3041  8 Tb 3.53-3.57, 4 Ho 3.57
Ho3 0.5000 0.5000 0.5000  8 Tb 3.55, 4 Ho 3.57
Ho4 0.5000 0.5000 0.6959  8 Tb 3.53-3.57, 4 Ho 3.57
Ho5 0.5000 0.5000 0.8895  4 Tb 3.47, 4 Ho 3.57, 4 Ca 3.77

---

(18)
## SrTlSi2 (GGA-PBE)

Data for crystalline SrTlSi2 at its relaxed geometry.

excess energy over the best structure of this formula in the dataset	18.4	kJ per mole of atoms
formation energy (no corrections)	0.08	eV/atom

Cell lengths 4.3033, 4.4844, 6.1180 Å; angles 90.01, 90.00, 90.00 degrees
Closest atoms and distances in Å follow each position.
Positions (direct):
Si1 0.0000 0.7499 0.0657  1 Si 2.25
Si2 0.0000 0.7501 0.4343  1 Si 2.25
Sr1 0.5000 0.2500 0.2500  8 Si 3.31
Tl1 0.5000 0.7500 0.7500  4 Si 2.89

---

(19)
## NaPrDy2 (GGA-PBE)

Data for crystalline NaPrDy2 at its relaxed geometry.

excess energy over the best structure of this formula in the dataset	3.1	kJ per mole of atoms
formation energy from the elements	0.187	eV/atom

Cell lengths 3.5444, 3.5444, 12.9689 Å; angles 82.15, 82.15, 60.00 degrees
Closest atoms and distances in Å follow each position.
Positions (direct):
Pr1 0.5000 0.5000 0.5000  6 Pr 3.54, 6 Dy 3.55
Na1 0.0000 0.0000 0.0000  2 Dy 3.51, 6 Na 3.54
Dy1 0.0913 0.0913 0.7261  1 Na 3.51, 6 Dy 3.54, 3 Pr 3.55
Dy2 0.9087 0.9087 0.2739  1 Na 3.51, 6 Dy 3.54, 3 Pr 3.55

---

(20)
## Pu2CuSb2 (GGA-PBE)

Data for crystalline Pu2CuSb2 at its relaxed geometry.

formation energy (no corrections)	-0.48	eV/atom

Cell lengths 7.4819, 7.8216, 8.9933 Å; angles 90.00, 90.01, 90.00 degrees
Closest atoms and distances in Å follow each position.
Positions (direct):
Pu1 0.5002 0.2506 0.1193  6 Sb 3.16-3.21, 2 Cu 3.24-3.26
Pu2 0.0002 0.2494 0.1193  6 Sb 3.16-3.21, 2 Cu 3.24-3.26
Pu3 0.9998 0.7506 0.8807  6 Sb 3.16-3.21, 2 Cu 3.24-3.26
Pu4 0.4998 0.7494 0.8807  6 Sb 3.16-3.21, 2 Cu 3.24-3.26
Pu5 0.0000 0.7509 0.3706  6 Sb 3.19-3.27, 4 Cu 3.20-3.23
Pu6 0.5000 0.7491 0.3706  6 Sb 3.19-3.27, 4 Cu 3.20-3.23
Pu7 0.5000 0.2509 0.6294  6 Sb 3.19-3.27, 4 Cu 3.20-3.23
Pu8 0.0000 0.2491 0.6294  6 Sb 3.19-3.27, 4 Cu 3.20-3.23
Cu1 0.2478 0.4169 0.3769  3 Sb 2.62-2.63
Cu2 0.7522 0.5831 0.6231  3 Sb 2.62-2.63
Cu3 0.7478 0.0831 0.3769  3 Sb 2.62-2.63
Cu4 0.2522 0.9169 0.6231  3 Sb 2.62-2.63
Sb1 0.7494 0.9188 0.1232  1 Cu 2.62
Sb2 0.2494 0.5812 0.1232  1 Cu 2.62
Sb3 0.7506 0.4188 0.8768  1 Cu 2.62
Sb4 0.2506 0.0812 0.8768  1 Cu 2.62
Sb5 0.7510 0.4179 0.3691  2 Cu 2.62-2.63
Sb6 0.2510 0.0821 0.3691  2 Cu 2.62-2.63
Sb7 0.7490 0.9179 0.6309  2 Cu 2.62-2.63
Sb8 0.2490 0.5821 0.6309  2 Cu 2.62-2.63

---

no.,calculated density (g cm⁻³)
1,5.57
2,7.32
3,11.79
4,9.75
5,18.34
6,4.47
7,2.94
8,8.13
9,17.50
10,11.99
11,8.68
12,5.85
13,8.39
14,7.54
15,6.03
16,11.02
17,7.72
18,4.90
19,5.83
20,10.03